# PmTlCrO4

A relaxed structure of PmTlCrO4 (GGA+U, the Alexandria database).

Unit cell a=5.7686 b=5.7613 c=8.5290 alpha=90.00 beta=112.53 gamma=90.00
Closest atoms and distances in Å follow each position.
Sites, in units of the cell vectors:
O 0.6105 0.2500 0.7931  1 Cr 1.75
O 0.3895 0.7500 0.2069  1 Cr 1.75
O 0.0186 0.0103 0.6778  1 Cr 1.83
O 0.9814 0.9897 0.3222  1 Cr 1.83
O 0.0186 0.4897 0.6778  1 Cr 1.83
O 0.5945 0.2500 0.4656  1 Cr 1.82
O 0.9814 0.5103 0.3222  1 Cr 1.83
O 0.4055 0.7500 0.5344  1 Cr 1.82
Pm 0.2318 0.2500 0.5345  6 O 2.37-2.46
Pm 0.7682 0.7500 0.4655  6 O 2.37-2.46
Tl 0.5951 0.2500 0.1368  3 O 2.65-2.81
Tl 0.4049 0.7500 0.8632  3 O 2.65-2.81
Cr 0.8153 0.2500 0.6859  4 O 1.75-1.83
Cr 0.1847 0.7500 0.3141  4 O 1.75-1.83

Summary:
**Space group**: No. 11
**Spin magnetization**: 2.000 μB per formula unit
**Total DFT energy (no corrections)**: -6.92 eV/atom
**Calculated density**: 5.903 g/cm3